Crystalline CaPm2InO at its relaxed geometry. Source: Alexandria, functional PBE.

It has space group P4/mmm (No. 123), with a = 4.954 Å, b = 4.954 Å, c = 4.853 Å, α = 90.00°, β = 90.00° and γ = 90.00°. The inequivalent atoms are Ca at (0.000, 0.000, 0.000), Pm at (0.000, 0.500, 0.500), In at (0.500, 0.500, 0.000) and O at (0.000, 0.000, 0.500).

The calculation puts the electronic total energy at -26.3 eV for the cell shown. The calculation puts the size of the total moment at 0.0 μB/f.u. The uncorrected formation energy is -1411.5 meV/atom.